1.
# LiNdNO

LiNdNO after structural relaxation (PBE, the Open Quantum Materials Database).

Cell: 4.6189 3.7223 5.8370 Å, 90.00 90.00 90.00°
Atoms (fractional coordinates):
Li: 0.2500 0.0000 0.2273
Li: 0.7500 0.0000 0.7727
Nd: 0.2500 0.5000 0.7269
Nd: 0.7500 0.5000 0.2731
N: 0.0000 0.0000 0.5000
N: 0.5000 0.0000 0.5000
O: 0.2500 0.5000 0.1302
O: 0.7500 0.5000 0.8698

Values from the calculation:
E above lowest polymorph ... 0.0 meV per atom



2.
# LiNdNO

LiNdNO after structural relaxation (PBE, the Open Quantum Materials Database).

Cell: 3.9726 6.0945 4.9436 Å, 90.00 90.00 90.00°
Atoms (fractional coordinates):
Li: 0.0000 0.1760 0.0000
Li: 0.0000 0.8240 0.5000
Nd: 0.5000 0.2719 0.4732
Nd: 0.5000 0.7281 0.9732
N: 0.5000 0.3367 0.9617
N: 0.5000 0.6633 0.4617
O: 0.0000 0.1223 0.3780
O: 0.0000 0.8777 0.8780

Values from the calculation:
E above lowest polymorph ... 138.1 meV per atom



3.
# LiNdNO

LiNdNO after structural relaxation (PBE, the Open Quantum Materials Database).

Cell: 3.8030 3.8030 7.3161 Å, 90.00 90.00 90.00°
Atoms (fractional coordinates):
Li: 0.2500 0.7500 0.0000
Li: 0.7500 0.2500 0.0000
Nd: 0.2500 0.2500 0.3257
Nd: 0.7500 0.7500 0.6743
N: 0.2500 0.2500 0.8799
N: 0.7500 0.7500 0.1201
O: 0.2500 0.7500 0.5000
O: 0.7500 0.2500 0.5000

Values from the calculation:
E above lowest polymorph ... 167.9 meV per atom



4.
# LiNdNO

LiNdNO after structural relaxation (PBE, the Open Quantum Materials Database).

Cell: 3.4694 3.4694 4.5810 Å, 90.00 90.00 90.00°
Atoms (fractional coordinates):
Li: 0.0000 0.0000 0.0000
Nd: 0.5000 0.5000 0.5000
N: 0.0000 0.0000 0.5000
O: 0.5000 0.5000 0.0000

Values from the calculation:
E above lowest polymorph ... 176.9 meV per atom



5.
# LiNi3N

LiNi3N after structural relaxation (PBE, the Open Quantum Materials Database).

Cell: 4.9388 4.9388 4.8606 Å, 90.00 90.00 120.65°
Atoms (fractional coordinates):
Li: 0.0373 0.9627 0.5000
Li: 0.9627 0.0373 0.0000
Ni: 0.0381 0.4690 0.6518
Ni: 0.4637 0.5363 0.2737
Ni: 0.4690 0.0381 0.1518
Ni: 0.5310 0.9619 0.6518
Ni: 0.5363 0.4637 0.7737
Ni: 0.9619 0.5310 0.1518
N: 0.3371 0.6629 0.9467
N: 0.6629 0.3371 0.4467

Values from the calculation:
Total energy ... -0.203 hartree per atom



6.
# LiNi3N5

LiNi3N5 after structural relaxation (PBE, the Open Quantum Materials Database).

Cell: 4.9966 4.9966 3.8426 Å, 90.00 90.00 120.00°
Atoms (fractional coordinates):
Li: 0.0000 0.0000 0.0000
Ni: 0.0000 0.5000 0.5000
Ni: 0.5000 0.0000 0.5000
Ni: 0.5000 0.5000 0.5000
N: 0.0000 0.0000 0.5000
N: 0.3333 0.6667 0.1619
N: 0.3333 0.6667 0.8381
N: 0.6667 0.3333 0.1619
N: 0.6667 0.3333 0.8381

Values from the calculation:
Total energy ... -0.233 hartree per atom



7.
# SrLi3NiN3

SrLi3NiN3 after structural relaxation (PBE, the Open Quantum Materials Database).

Cell: 7.2545 7.2545 7.2545 Å, 46.97 46.97 46.97°
Atoms (fractional coordinates):
Sr: 0.1633 0.1633 0.1633
Sr: 0.8367 0.8367 0.8367
Li: 0.0230 0.6085 0.2649
Li: 0.2649 0.0230 0.6085
Li: 0.3915 0.7351 0.9770
Li: 0.6085 0.2649 0.0230
Li: 0.7351 0.9770 0.3915
Li: 0.9770 0.3915 0.7351
Ni: 0.4239 0.4239 0.4239
Ni: 0.5761 0.5761 0.5761
N: 0.1099 0.7141 0.4034
N: 0.2859 0.5966 0.8901
N: 0.4034 0.1099 0.7141
N: 0.5966 0.8901 0.2859
N: 0.7141 0.4034 0.1099
N: 0.8901 0.2859 0.5966

Values from the calculation:
Total energy ... -0.184 hartree per atom



8.
# Sr3Li4Ni2N6

Sr3Li4Ni2N6 after structural relaxation (PBE, the Open Quantum Materials Database).

Cell: 5.7027 5.7027 6.2897 Å, 90.47 90.47 114.50°
Atoms (fractional coordinates):
Sr: 0.0000 0.0000 0.0000
Sr: 0.1901 0.8099 0.5000
Sr: 0.8099 0.1901 0.5000
Li: 0.2066 0.5395 0.1242
Li: 0.4605 0.7934 0.8758
Li: 0.5395 0.2066 0.1242
Li: 0.7934 0.4605 0.8758
Ni: 0.3897 0.3897 0.6597
Ni: 0.6103 0.6103 0.3403
N: 0.1382 0.4526 0.8038
N: 0.3017 0.3017 0.3636
N: 0.4526 0.1382 0.8038
N: 0.5474 0.8618 0.1962
N: 0.6983 0.6983 0.6364
N: 0.8618 0.5474 0.1962

Values from the calculation:
Total energy ... -0.190 hartree per atom



9.
# Li2ZrOsN2O2

Li2ZrOsN2O2 after structural relaxation (PBE, the Open Quantum Materials Database).

Cell: 4.2983 4.2983 4.1826 Å, 90.00 90.00 90.00°
Atoms (fractional coordinates):
Li: 0.0000 0.5000 0.0013
Li: 0.5000 0.0000 0.9987
Zr: 0.0000 0.0000 0.5000
Os: 0.5000 0.5000 0.5000
N: 0.0000 0.5000 0.5009
N: 0.5000 0.0000 0.4991
O: 0.0000 0.0000 0.0000
O: 0.5000 0.5000 0.0000

Values from the calculation:
Total energy ... -0.274 hartree per atom



10.
# LiPaNO

LiPaNO after structural relaxation (PBE, the Open Quantum Materials Database).

Cell: 4.2398 5.4930 4.8340 Å, 90.00 90.00 90.00°
Atoms (fractional coordinates):
Li: 0.0000 0.1964 0.0000
Li: 0.0000 0.8036 0.5000
Pa: 0.5000 0.2612 0.4730
Pa: 0.5000 0.7388 0.9730
N: 0.5000 0.3118 0.9672
N: 0.5000 0.6882 0.4672
O: 0.0000 0.1502 0.4031
O: 0.0000 0.8498 0.9031

Values from the calculation:
E above lowest polymorph ... 0.0 meV per atom



11.
# LiPaNO

LiPaNO after structural relaxation (PBE, the Open Quantum Materials Database).

Cell: 4.8038 4.8038 4.5023 Å, 90.00 90.00 90.00°
Atoms (fractional coordinates):
Li: 0.2500 0.2500 0.0033
Li: 0.7500 0.7500 0.9967
Pa: 0.2500 0.7500 0.5000
Pa: 0.7500 0.2500 0.5000
N: 0.2500 0.2500 0.4992
N: 0.7500 0.7500 0.5008
O: 0.2500 0.7500 0.0000
O: 0.7500 0.2500 0.0000

Values from the calculation:
E above lowest polymorph ... 14.4 meV per atom